This record from Alexandria describes crystalline ThBeSiNi6 at its relaxed geometry. The functional is PBE-GGA.

a b c (Å): 6.408 7.374 7.107
angles (deg): 121.25 116.80 90.00
Fractional coordinates of all 18 atoms:
Ni 0.090 0.895 0.768
Ni 0.599 0.849 0.198
Be 0.500 0.500 0.000
Ni 0.322 0.627 0.232
Ni 0.678 0.373 0.768
Be 0.500 0.000 0.000
Ni 0.090 0.373 0.768
Ni 0.981 0.731 0.962
Si 0.000 0.000 0.500
Ni 0.910 0.105 0.232
Th 0.710 0.460 0.420
Ni 0.322 0.105 0.232
Ni 0.910 0.627 0.232
Ni 0.019 0.269 0.038
Ni 0.401 0.151 0.802
Ni 0.678 0.895 0.768
Si 0.500 0.000 0.500
Th 0.290 0.540 0.580

Values from the calculation:
Fermi-level density of states = 4.34 states/eV/f.u.
E_tot = -5.875 eV/atom

---

This record from Alexandria describes crystalline Zr2SbMoP at its relaxed geometry. The functional is PBE-GGA.

a b c (Å): 5.055 5.055 5.002
angles (deg): 90.00 90.00 90.00
Fractional coordinates of all 5 atoms:
P 0.500 0.500 0.500
Sb 0.000 0.000 0.500
Zr 0.500 0.000 0.000
Zr 0.000 0.500 0.000
Mo 0.000 0.000 0.000

Values from the calculation:
Fermi-level density of states = 4.29 states/eV/f.u.
E_tot = -6.799 eV/atom

---

This record from Alexandria describes crystalline V2NiHRu at its relaxed geometry. The functional is PBE-GGA.

a b c (Å): 3.788 3.788 3.739
angles (deg): 90.00 90.00 90.00
Fractional coordinates of all 5 atoms:
V 0.500 0.000 0.000
H 0.000 0.000 0.000
V 0.000 0.500 0.000
Ru 0.000 0.000 0.500
Ni 0.500 0.500 0.500

Values from the calculation:
Fermi-level density of states = 3.80 states/eV/f.u.
E_tot = -7.483 eV/atom

---

This record from Alexandria describes crystalline Dy3Ho9Tm2 at its relaxed geometry. The functional is PBE-GGA.

a b c (Å): 6.194 13.559 10.359
angles (deg): 39.99 55.93 54.03
Fractional coordinates of all 14 atoms:
Dy 0.629 0.287 0.330
Tm 0.632 0.299 0.660
Ho 0.402 0.704 0.984
Ho 0.017 0.503 0.826
Ho 0.697 0.934 0.838
Ho 0.818 0.902 0.493
Dy 0.404 0.733 0.632
Dy 0.902 0.929 0.105
Ho 0.610 0.293 0.009
Tm 0.428 0.701 0.336
Ho 0.242 0.100 0.139
Ho 0.994 0.515 0.150
Ho 0.194 0.100 0.508
Ho 0.032 0.501 0.491

Values from the calculation:
Fermi-level density of states = 21.82 states/eV/f.u.
E_form = 0.110 eV per atom